(1)
Below is CsNa2CaSn after structural relaxation, with properties calculated at the PBE level.

Results
- E_form (meV per atom) = -89
- final energy (eV per cell) = -9.94
- total moment (μB per formula unit) = 0.000

a = 6.2509 Å, b = 6.2509 Å, c = 6.1556 Å
α = 90.00°, β = 90.00°, γ = 90.00°
Closest atoms and distances in Å follow each position.
Fractional coordinates of all 5 atoms:
Sn  0.0000  0.0000  0.0000  2 Ca 3.08, 4 Na 3.13
Ca  0.0000  0.0000  0.5000  2 Sn 3.08
Cs  0.5000  0.5000  0.5000  8 Na 4.39, 4 Ca 4.42
Na  0.0000  0.5000  0.0000  2 Sn 3.13
Na  0.5000  0.0000  0.0000  2 Sn 3.13

(2)
Below is CsNaCaTa2 after structural relaxation, with properties calculated at the PBE level.

Results
- E_form (meV per atom) = 2262
- final energy (eV per cell) = -16.57
- total moment (μB per formula unit) = 0.000

a = 5.2732 Å, b = 5.5191 Å, c = 5.2732 Å
α = 90.00°, β = 90.00°, γ = 90.00°
Closest atoms and distances in Å follow each position.
Fractional coordinates of all 5 atoms:
Na  0.0000  0.5000  0.0000  2 Cs 2.76
Cs  0.0000  0.0000  0.0000  4 Ta 2.64, 2 Na 2.76
Ta  0.5000  0.0000  0.0000  2 Cs 2.64
Ta  0.0000  0.0000  0.5000  2 Cs 2.64
Ca  0.5000  0.5000  0.5000  4 Na 3.73, 8 Ta 3.82

(3)
Below is CsNa2CaTl after structural relaxation, with properties calculated at the PBE level.

Results
- E_form (meV per atom) = 9
- final energy (eV per cell) = -7.81
- total moment (μB per formula unit) = 0.000

a = 6.3129 Å, b = 6.3129 Å, c = 6.1213 Å
α = 90.00°, β = 90.00°, γ = 90.00°
Closest atoms and distances in Å follow each position.
Fractional coordinates of all 5 atoms:
Ca  0.0000  0.0000  0.5000  2 Tl 3.06
Tl  0.0000  0.0000  0.0000  2 Ca 3.06, 4 Na 3.16
Na  0.5000  0.0000  0.0000  2 Tl 3.16
Na  0.0000  0.5000  0.0000  2 Tl 3.16
Cs  0.5000  0.5000  0.5000  8 Na 4.40, 4 Ca 4.46

(4)
Below is CsNaCa2Tl after structural relaxation, with properties calculated at the PBE level.

Results
- E_form (meV per atom) = 10
- final energy (eV per cell) = -8.49
- total moment (μB per formula unit) = 0.000

a = 6.2255 Å, b = 6.2255 Å, c = 6.3795 Å
α = 90.00°, β = 90.00°, γ = 90.00°
Closest atoms and distances in Å follow each position.
Fractional coordinates of all 5 atoms:
Tl  0.0000  0.0000  0.0000  4 Ca 3.11, 2 Na 3.19
Na  0.0000  0.0000  0.5000  2 Tl 3.19
Ca  0.0000  0.5000  0.0000  2 Tl 3.11
Ca  0.5000  0.0000  0.0000  2 Tl 3.11
Cs  0.5000  0.5000  0.5000  4 Na 4.40, 8 Ca 4.46

(5)
Below is CsCaNb3 after structural relaxation, with properties calculated at the PBE level.

Results
- E_form (meV per atom) = 2568
- final energy (eV per cell) = -20.22
- total moment (μB per formula unit) = 0.000
- relative energy among the computed polymorphs (eV/atom) = 0.332

a = 5.2090 Å, b = 5.2090 Å, c = 5.2090 Å
α = 90.00°, β = 90.00°, γ = 90.00°
Closest atoms and distances in Å follow each position.
Fractional coordinates of all 5 atoms:
Nb  0.5000  0.0000  0.0000  2 Ca 2.60
Nb  0.0000  0.5000  0.0000  2 Ca 2.60
Nb  0.0000  0.0000  0.5000  2 Ca 2.60
Cs  0.5000  0.5000  0.5000  12 Nb 3.68
Ca  0.0000  0.0000  0.0000  6 Nb 2.60

(6)
Below is CsCa3Nb after structural relaxation, with properties calculated at the PBE level.

Results
- E_form (meV per atom) = 1762
- final energy (eV per cell) = -8.12
- total moment (μB per formula unit) = 0.000
- relative energy among the computed polymorphs (eV/atom) = 0.999

a = 5.6721 Å, b = 5.6721 Å, c = 5.6721 Å
α = 90.00°, β = 90.00°, γ = 90.00°
Closest atoms and distances in Å follow each position.
Fractional coordinates of all 5 atoms:
Cs  0.0000  0.0000  0.0000  6 Ca 2.84
Ca  0.5000  0.0000  0.0000  2 Cs 2.84
Ca  0.0000  0.5000  0.0000  2 Cs 2.84
Ca  0.0000  0.0000  0.5000  2 Cs 2.84
Nb  0.5000  0.5000  0.5000  12 Ca 4.01

- Which of these has the highest E_form?
  CsCaNb3

- What is the formula in the sixth record?
  CsCa3Nb